No. 1
The following is a DFT calculation (PBE) of crystalline V2NiHOs at its relaxed geometry.

It has space group P4/mmm (No. 123), with a = 3.853 Å, b = 3.853 Å, c = 3.591 Å, α = 90.00°, β = 90.00° and γ = 90.00°. The inequivalent atoms are V at (0.000, 0.500, 0.000), Ni at (0.000, 0.000, 0.500), H at (0.000, 0.000, 0.000) and Os at (0.500, 0.500, 0.500).

For the final energy, the calculation gives -39.6 eV/cell.

---

No. 2
The following is a DFT calculation (PBE) of crystalline K8Hg2Au3 at its relaxed geometry.

It has space group C2/m (No. 12), with a = 16.337 Å, b = 11.530 Å, c = 5.817 Å, α = 90.00°, β = 90.20° and γ = 90.00°. The inequivalent atoms are K at (0.114, 0.000, 0.001), K at (0.118, 0.247, 0.501), K at (0.123, 0.500, 0.999), Hg at (0.247, 0.000, 0.501), Au at (0.000, 0.000, 0.500) and Au at (0.000, 0.260, 0.000).

Its formation energy is -0.20 eV/atom.

---

No. 3
The following is a DFT calculation (PBE) of crystalline Sr2MoPb at its relaxed geometry.

It has space group P2/m (No. 10), with a = 3.705 Å, b = 4.743 Å, c = 7.134 Å, α = 90.00°, β = 90.07° and γ = 90.00°. The inequivalent atoms are Sr at (0.000, 0.000, 0.246), Mo at (0.500, 0.500, 0.000) and Pb at (0.500, 0.500, 0.500).

Its formation energy is 0.54 eV/atom.

---

No. 4
The following is a DFT calculation (PBE) of crystalline Tb3TlIr at its relaxed geometry.

It has space group Pnma (No. 62), with a = 7.324 Å, b = 4.833 Å, c = 15.159 Å, α = 90.00°, β = 90.00° and γ = 90.00°. The inequivalent atoms are Tb at (0.013, 0.250, 0.098), Tb at (0.133, 0.750, 0.457), Tb at (0.195, 0.250, 0.723), Tl at (0.081, 0.250, 0.321) and Ir at (0.230, 0.750, 0.045).

Its formation energy is -0.56 eV/atom.

---

No. 5
The following is a DFT calculation (PBE) of crystalline Pr6HoEr2Th at its relaxed geometry.

It has space group C2/c (No. 15), with a = 9.446 Å, b = 15.126 Å, c = 9.757 Å, α = 90.00°, β = 97.83° and γ = 90.00°. The inequivalent atoms are Pr at (0.065, 0.173, 0.442), Pr at (0.094, 0.393, 0.618), Pr at (0.210, 0.217, 0.811), Ho at (0.000, 0.409, 0.250), Er at (0.245, 0.045, 0.052) and Th at (0.000, 0.031, 0.750).

Its formation energy is 0.14 eV/atom.

---

No. 6
The following is a DFT calculation (PBE) of crystalline BeWCl2 at its relaxed geometry.

It has space group F-43m (No. 216), with a = 6.549 Å, b = 6.549 Å, c = 6.549 Å, α = 90.00°, β = 90.00° and γ = 90.00°. The inequivalent atoms are Be at (0.000, 0.000, 0.000), W at (0.250, 0.250, 0.750), Cl at (0.000, 0.000, 0.500) and Cl at (0.250, 0.250, 0.250).

The formation energy (no corrections) comes out at 1.39 eV per atom.

---

Number 1: volume 10.660 Å³/atom. Number 2: volume 42.140 Å³/atom. Number 3: volume 31.342 Å³/atom. Number 4: volume 26.824 Å³/atom. Number 5: volume 34.526 Å³/atom. Number 6: volume 17.553 Å³/atom.